Computed, not measured: K2ScPaTe4 after structural relaxation at the GGA-PBE level of DFT.

Results
**DFT total energy**: -4.900 eV/atom
**ρ**: 5.206 g/cm³
**Crystal system**: monoclinic
**Energy relative to the elements, uncorrected**: -24.82 kcal/mol of atoms
**Total magnetization**: 2.0 μB/cell

a = 7.5812 Å, b = 4.3589 Å, c = 8.7110 Å
α = 90.00°, β = 106.67°, γ = 90.00°
Fractional coordinates of all 8 atoms:
K1 0.0000 0.0000 0.0000
K2 0.5000 0.5000 0.0000
Sc1 0.0000 0.5000 0.5000
Pa1 0.5000 0.0000 0.5000
Te1 0.2245 0.0000 0.7030
Te2 0.2514 0.5000 0.2884
Te3 0.7486 0.5000 0.7116
Te4 0.7755 0.0000 0.2970

***

Computed, not measured: RbLiAu after structural relaxation at the GGA-PBE level of DFT.

Results
**Energy of formation**: -0.22 eV per atom
**DFT total energy**: -2.272 eV/atom
**ρ**: 4.982 g/cm³
**Crystal system**: hexagonal
**ΔE to the lowest computed polymorph**: 68 meV per atom
**Total magnetization**: 0.0 μB/cell

a = 4.5698 Å, b = 4.5698 Å, c = 5.3334 Å
α = 90.00°, β = 90.00°, γ = 120.00°
Fractional coordinates of all 3 atoms:
Rb1 0.0000 0.0000 0.0000
Li1 0.6667 0.3333 0.5000
Au1 0.3333 0.6667 0.5000

***

Computed, not measured: Rb3Pr3UO8 after structural relaxation at the GGA-PBE level of DFT.

Results
**DFT total energy**: -7.215 eV/atom
**ρ**: 5.597 g/cm³
**Crystal system**: trigonal
**Energy relative to the elements, uncorrected**: -61.55 kcal/mol of atoms
**Total magnetization**: 2.0 μB/cell

a = 7.9285 Å, b = 7.9285 Å, c = 7.9285 Å
α = 54.84°, β = 54.84°, γ = 54.84°
Fractional coordinates of all 15 atoms:
Rb1 0.0000 0.5000 0.5000
Rb2 0.5000 0.0000 0.5000
Rb3 0.5000 0.5000 0.0000
Pr1 0.0000 0.0000 0.5000
Pr2 0.0000 0.5000 0.0000
Pr3 0.5000 0.0000 0.0000
U1 0.5000 0.5000 0.5000
O1 0.2265 0.2265 0.2265
O2 0.2507 0.7086 0.7086
O3 0.2914 0.2914 0.7493
O4 0.2914 0.7493 0.2914
O5 0.7086 0.2507 0.7086
O6 0.7086 0.7086 0.2507
O7 0.7493 0.2914 0.2914
O8 0.7735 0.7735 0.7735

***

Repeat the second record exactly.
Computed, not measured: RbLiAu after structural relaxation at the GGA-PBE level of DFT.

Results
**Energy of formation**: -0.22 eV per atom
**DFT total energy**: -2.272 eV/atom
**ρ**: 4.982 g/cm³
**Crystal system**: hexagonal
**ΔE to the lowest computed polymorph**: 68 meV per atom
**Total magnetization**: 0.0 μB/cell

a = 4.5698 Å, b = 4.5698 Å, c = 5.3334 Å
α = 90.00°, β = 90.00°, γ = 120.00°
Fractional coordinates of all 3 atoms:
Rb1 0.0000 0.0000 0.0000
Li1 0.6667 0.3333 0.5000
Au1 0.3333 0.6667 0.5000